Record 1
A relaxed structure of ThAg3Cl7. Source: Alexandria via LeMat-Bulk, functional PBE.

The structure in extended XYZ format:
```
11
Lattice="6.059 -4.116 0.000 6.059 4.116 0.000 -5.388 0.000 6.491" Properties=species:S:1:pos:R:3 pbc="T T T"
Th 0.000 0.000 0.000
Ag 3.223 1.819 3.657
Ag 4.785 0.000 0.105
Ag 3.223 -1.819 3.657
Cl -2.790 0.000 5.056
Cl 0.805 1.850 4.991
Cl 4.921 2.205 1.687
Cl 1.912 0.000 1.940
Cl 0.805 -1.850 4.991
Cl 4.198 0.000 5.392
Cl 4.921 -2.205 1.687
```

Output
space-group type: Cm
total DFT energy (no corrections): -0.2808 Ry/atom
size of the total moment: 0.00 μB per atom
ΔE_f (raw): -1194 meV per atom



Record 2
A relaxed structure of TbYCdPt. Source: Alexandria via LeMat-Bulk, functional PBE.

The structure in extended XYZ format:
```
4
Lattice="0.000 3.614 3.614 3.614 0.000 3.614 3.614 3.614 0.000" Properties=species:S:1:pos:R:3 pbc="T T T"
Tb 0.000 0.000 0.000
Y 3.614 3.614 3.614
Cd 1.807 1.807 1.807
Pt 5.421 5.421 5.421
```

Output
space-group type: F-43m
energy of formation: -2.88 eV/f.u.
total DFT energy (no corrections): -0.3847 Ry/atom
size of the total moment: 0.00 μB per atom



Record 3
A relaxed structure of Na2AuBr. Source: Alexandria via LeMat-Bulk, functional PBE.

The structure in extended XYZ format:
```
4
Lattice="3.623 0.000 0.000 0.000 3.623 0.000 0.000 0.000 7.366" Properties=species:S:1:pos:R:3 pbc="T T T"
Na 0.000 0.000 1.811
Na 0.000 0.000 5.555
Au 1.811 1.811 3.683
Br 1.811 1.811 0.000
```

Output
space-group type: P4/mmm
excess energy over the best structure of this formula in the dataset: 0.042 eV/atom
total DFT energy (no corrections): -0.1979 Ry/atom
size of the total moment: 0.00 μB per atom
ΔE_f (raw): -795 meV per atom



Record 4
A relaxed structure of TaTiS2. Source: Alexandria via LeMat-Bulk, functional PBE.

The structure in extended XYZ format:
```
4
Lattice="2.804 -1.619 0.000 2.804 1.619 0.000 -0.010 0.000 7.935" Properties=species:S:1:pos:R:3 pbc="T T T"
Ta 0.000 0.000 0.000
Ti 3.741 0.000 3.917
S 0.003 0.000 2.449
S 3.728 0.000 6.339
```

Output
space-group type: Cm
excess energy over the best structure of this formula in the dataset: 0.040 eV/atom
total DFT energy (no corrections): -0.5670 Ry/atom
size of the total moment: 0.20 μB per atom
ΔE_f (raw): -713 meV per atom



Record 5
A relaxed structure of BeAgBi2. Source: Alexandria via LeMat-Bulk, functional PBE.

The structure in extended XYZ format:
```
8
Lattice="-2.634 2.634 7.878 2.634 -2.634 7.878 2.634 2.634 -7.878" Properties=species:S:1:pos:R:3 pbc="T T T"
Be 0.000 0.000 0.000
Be 0.000 2.634 3.939
Ag 2.634 0.000 3.939
Ag 0.000 0.000 7.878
Bi 3.951 1.073 -1.969
Bi 1.073 1.317 1.969
Bi -1.317 1.561 5.908
Bi 1.561 1.317 9.847
```

Output
space-group type: I-42d
energy of formation: 1.66 eV/f.u.
total DFT energy (no corrections): -0.2330 Ry/atom
size of the total moment: 0.00 μB per atom



Record 6
A relaxed structure of Cd2SiCl. Source: Alexandria via LeMat-Bulk, functional PBE.

The structure in extended XYZ format:
```
4
Lattice="3.172 0.000 0.000 0.000 3.172 0.000 0.000 0.000 9.096" Properties=species:S:1:pos:R:3 pbc="T T T"
Cd 0.000 0.000 0.000
Cd 1.586 1.586 2.298
Si 1.586 1.586 7.119
Cl 0.000 0.000 4.003
```

Output
space-group type: P4mm
excess energy over the best structure of this formula in the dataset: 0.246 eV/atom
total DFT energy (no corrections): -0.1549 Ry/atom
size of the total moment: 0.00 μB per atom
ΔE_f (raw): 168 meV per atom



Question: The highest total DFT energy (no corrections) belongs to which entry?
Answer: Cd2SiCl